Below is a relaxed Rb2TlAs2 crystal, with properties calculated at the PBE level.

Cell: 5.528 6.753 10.608 Å, 83.51 74.90 65.84°
Sites, in units of the cell vectors:
Tl 0.216 0.928 0.640
Tl 0.784 0.072 0.360
Rb 0.512 0.664 0.311
Rb 0.488 0.336 0.689
Rb 0.690 0.725 0.895
Rb 0.310 0.275 0.105
As 0.986 0.124 0.905
As 0.014 0.876 0.095
As 0.886 0.683 0.544
As 0.114 0.317 0.456

Values from the calculation:
DOS at the Fermi energy	6.2	states/eV/cell
size of the total moment	0.00	μB per formula unit
relative energy among the computed polymorphs	0	meV per atom
E_tot	-0.2215	Ry/atom
V	34.88	Å³/atom
formation energy	-294	meV per atom
mass density	5.00	Mg/m³